This record from Alexandria describes a geometry-optimized KMo2Se structure. The functional is GGA-PBE.

Computed properties:
**Fermi-level density of states**: 0.61 states/eV per atom
**Total magnetization**: 0.01 μB/cell
**Volume**: 294 Å³/cell
**E above lowest polymorph**: 2.86 eV per formula unit
**Uncorrected formation energy**: 1008 meV per atom

POSCAR file:
```
KMo2Se
1.0
6.648 0.000 0.000
0.000 6.648 0.000
0.000 0.000 6.648
K Mo Se
4 8 4
Direct
0.000 0.000 0.000
0.000 0.500 0.500
0.500 0.000 0.500
0.500 0.500 0.000
0.000 0.000 0.500
0.000 0.500 0.000
0.250 0.250 0.750
0.250 0.750 0.250
0.500 0.000 0.000
0.500 0.500 0.500
0.750 0.250 0.250
0.750 0.750 0.750
0.250 0.250 0.250
0.250 0.750 0.750
0.750 0.250 0.750
0.750 0.750 0.250
```

***

This record from Alexandria describes a geometry-optimized KMoSe3 structure. The functional is GGA-PBE.

Computed properties:
**Fermi-level density of states**: 0.79 states/eV per atom
**Total magnetization**: 0.00 μB/cell
**Volume**: 128 Å³/cell
**E above lowest polymorph**: 0.00 eV per formula unit
**Uncorrected formation energy**: -403 meV per atom

POSCAR file:
```
KMoSe3
1.0
5.045 0.000 0.000
0.000 5.045 0.000
0.000 0.000 5.045
K Mo Se
1 1 3
Direct
0.000 0.000 0.000
0.500 0.500 0.500
0.000 0.500 0.500
0.500 0.000 0.500
0.500 0.500 0.000
```

***

This record from Alexandria describes a geometry-optimized KMo3Se structure. The functional is GGA-PBE.

Computed properties:
**Fermi-level density of states**: 1.39 states/eV per atom
**Total magnetization**: 0.00 μB/cell
**Volume**: 97 Å³/cell
**E above lowest polymorph**: 8.50 eV per formula unit
**Uncorrected formation energy**: 3160 meV per atom

POSCAR file:
```
KMo3Se
1.0
4.587 0.000 0.000
0.000 4.587 0.000
0.000 0.000 4.587
K Mo Se
1 3 1
Direct
0.000 0.000 0.000
0.000 0.000 0.500
0.000 0.500 0.000
0.500 0.000 0.000
0.500 0.500 0.500
```

***

This record from Alexandria describes a geometry-optimized KMoSe2 structure. The functional is GGA-PBE.

Computed properties:
**Fermi-level density of states**: 0.66 states/eV per atom
**Total magnetization**: 0.00 μB/cell
**Volume**: 517 Å³/cell
**Uncorrected formation energy**: -407 meV per atom

POSCAR file:
```
KMoSe2
1.0
7.107 0.000 0.000
0.000 7.107 0.000
0.000 0.000 10.244
K Mo Se
4 4 8
Direct
0.000 0.000 0.000
0.000 0.500 0.250
0.500 0.000 0.750
0.500 0.500 0.500
0.000 0.000 0.500
0.000 0.500 0.750
0.500 0.000 0.250
0.500 0.500 0.000
0.147 0.250 0.625
0.250 0.647 0.875
0.250 0.853 0.375
0.353 0.250 0.125
0.647 0.750 0.125
0.750 0.147 0.375
0.750 0.353 0.875
0.853 0.750 0.625
```